w) Sr2NbIrN4O2, optimized geometry, DFT GGA-PBE; total magnetic moment = 0.04 μB per formula unit
1.0
5.649 0.000 0.000
0.012 5.654 0.000
0.029 0.027 8.052
Nb N Sr O Ir
2 8 4 4 2
Cartesian
2.795 2.804 0.130 Nb
5.672 5.635 3.982 Nb
1.451 1.424 4.091 N
2.780 2.990 6.059 N
1.333 1.531 7.993 N
1.447 4.191 3.904 N
2.876 2.721 2.039 N
0.082 5.540 6.056 N
4.213 4.221 3.980 N
4.217 1.454 4.142 N
5.642 2.834 2.022 Sr
5.604 2.838 6.038 Sr
2.865 5.660 6.049 Sr
2.902 5.640 2.021 Sr
4.196 1.327 7.826 O
5.557 0.169 1.923 O
4.442 4.133 0.052 O
1.577 4.449 0.137 O
2.813 2.815 4.176 Ir
0.101 0.092 7.900 Ir

---

x) Sr2NbIrN4O2, optimized geometry, DFT GGA-PBE; total magnetic moment = 0.06 μB per formula unit
1.0
-3.035 -3.653 -3.028
3.524 -4.128 1.546
-4.627 -1.507 6.457
Ir N Sr O Nb
2 8 4 4 2
Cartesian
-3.061 -3.691 -2.846 Ir
-1.922 -4.616 2.412 Ir
2.242 -4.404 3.100 N
0.159 -1.920 -0.200 N
-1.494 -3.706 -1.770 N
-2.060 -2.741 2.822 N
-4.298 -7.409 5.168 N
-2.145 -6.505 2.145 N
-0.798 -4.364 0.918 N
-0.514 -4.864 3.679 N
-4.993 -3.011 3.307 Sr
-1.777 -3.224 5.599 Sr
-2.644 -2.194 0.120 Sr
-2.446 -6.047 -0.590 Sr
-2.599 -5.682 6.702 O
-3.613 -4.319 1.222 O
-6.332 -4.915 1.927 O
-3.324 -4.864 4.038 O
1.120 -4.877 4.765 Nb
-4.405 -5.401 5.681 Nb

---

Decreasing stability: x), w)